No. 1
The following is a SCAN calculation of CrCoNi2 at its PBEsol-relaxed geometry, from the Alexandria database.

- raw total energy (Ry/atom) = -1.2448
- ρ (g cm⁻³) = 9.1
- energy relative to the elements (eV/atom) = 0.073
- Fermi-level density of states (states/eV/f.u.) = 3.34

Unit cell a=2.417 b=3.578 c=4.817 alpha=90.00 beta=90.00 gamma=90.00
Positions (direct):
1 Ni 0.000 0.000 0.750
2 Ni 0.000 0.000 0.250
3 Co 0.500 0.500 0.000
4 Cr 0.500 0.500 0.500


No. 2
The following is a SCAN calculation of Li2ZrCuH at its PBEsol-relaxed geometry, from the Alexandria database.

- raw total energy (Ry/atom) = -0.8015
- ρ (g cm⁻³) = 4.4
- Fermi-level density of states (states/eV/f.u.) = 3.16

Unit cell a=3.759 b=3.759 c=4.572 alpha=90.00 beta=90.00 gamma=90.00
Positions (direct):
1 H 0.000 0.000 0.000
2 Li 0.000 0.500 0.000
3 Li 0.500 0.000 0.000
4 Cu 0.500 0.500 0.500
5 Zr 0.000 0.000 0.500


No. 3
The following is a SCAN calculation of Te2IrPt2 at its PBEsol-relaxed geometry, from the Alexandria database.

- raw total energy (Ry/atom) = -4.1753
- ρ (g cm⁻³) = 14.3
- raw formation energy (eV per atom) = 0.389
- Fermi-level density of states (states/eV/f.u.) = 2.93

Unit cell a=3.615 b=3.615 c=7.892 alpha=103.24 beta=103.24 gamma=90.00
Positions (direct):
1 Ir 0.000 0.000 0.000
2 Te 0.603 0.603 0.206
3 Te 0.397 0.397 0.794
4 Pt 0.750 0.250 0.500
5 Pt 0.250 0.750 0.500


No. 4
The following is a SCAN calculation of LiYGeH2 at its PBEsol-relaxed geometry, from the Alexandria database.

- raw total energy (Ry/atom) = -0.8182
- ρ (g cm⁻³) = 3.1
- Fermi-level density of states (states/eV/f.u.) = 1.73

Unit cell a=3.885 b=3.885 c=6.115 alpha=90.00 beta=90.00 gamma=90.00
Positions (direct):
1 H 0.500 0.000 0.000
2 H 0.000 0.500 0.000
3 Y 0.000 0.000 0.000
4 Li 0.000 0.000 0.500
5 Ge 0.500 0.500 0.500


No. 5
The following is a SCAN calculation of NaCr2NiPt at its PBEsol-relaxed geometry, from the Alexandria database.

- raw total energy (Ry/atom) = -1.8261
- ρ (g cm⁻³) = 5.8
- energy relative to the elements (eV/atom) = 0.625
- Fermi-level density of states (states/eV/f.u.) = 5.15

Unit cell a=4.680 b=4.819 c=4.819 alpha=90.00 beta=90.00 gamma=90.00
Positions (direct):
1 Na 0.500 0.500 0.500
2 Ni 0.500 0.000 0.000
3 Cr 0.000 0.000 0.500
4 Cr 0.000 0.500 0.000
5 Pt 0.000 0.000 0.000


No. 6
The following is a SCAN calculation of FeMo6Rh3N2 at its PBEsol-relaxed geometry, from the Alexandria database.

- raw total energy (Ry/atom) = -2.1479
- ρ (g cm⁻³) = 10.6
- raw formation energy (eV per atom) = -0.280
- Fermi-level density of states (states/eV/f.u.) = 9.43

Unit cell a=6.709 b=6.720 c=6.720 alpha=90.00 beta=90.42 gamma=90.00
Positions (direct):
1 Rh 0.939 0.936 0.179
2 Rh 0.569 0.064 0.697
3 Rh 0.312 0.313 0.564
4 Rh 0.431 0.564 0.303
5 Rh 0.688 0.813 0.436
6 Rh 0.061 0.436 0.821
7 Mo 0.374 0.702 0.703
8 Mo 0.122 0.298 0.204
9 Mo 0.299 0.955 0.374
10 Mo 0.701 0.455 0.626
11 Mo 0.204 0.047 0.874
12 Mo 0.796 0.547 0.126
13 Mo 0.542 0.874 0.050
14 Mo 0.626 0.202 0.297
15 Mo 0.878 0.798 0.796
16 Mo 0.458 0.374 0.950
17 Mo 0.048 0.623 0.453
18 Mo 0.952 0.123 0.547
19 Fe 0.181 0.685 0.064
20 Fe 0.819 0.185 0.936
21 N 0.874 0.375 0.378
22 N 0.126 0.875 0.622
23 N 0.374 0.127 0.126
24 N 0.626 0.627 0.874


- Which of these has the highest Fermi-level density of states?
  FeMo6Rh3N2


Repeat the second record exactly.
The following is a SCAN calculation of Li2ZrCuH at its PBEsol-relaxed geometry, from the Alexandria database.

- raw total energy (Ry/atom) = -0.8015
- ρ (g cm⁻³) = 4.4
- Fermi-level density of states (states/eV/f.u.) = 3.16

Unit cell a=3.759 b=3.759 c=4.572 alpha=90.00 beta=90.00 gamma=90.00
Positions (direct):
1 H 0.000 0.000 0.000
2 Li 0.000 0.500 0.000
3 Li 0.500 0.000 0.000
4 Cu 0.500 0.500 0.500
5 Zr 0.000 0.000 0.500


- Among the records above, which one has the highest Fermi-level density of states?
  FeMo6Rh3N2